No. 1
A relaxed structure of BaZr, computed with GGA-PBE.

Calculated values
D(E_F) = 11.53 states/eV/cell
Excess energy over the best structure of this formula in the dataset = 399 meV/atom
Calculated formation energy = 0.746 eV per atom
Theoretical density = 5.790 g cm⁻³
Total moment = 0.01 Bohr magnetons per cell

Unit cell a=3.5340 b=3.5340 c=18.1803 alpha=90.00 beta=90.00 gamma=120.00
Space group R-3m (No. 166, hexagonal axes)
Inequivalent atoms, fractional coordinates:
1 Ba 0.0000 0.0000 0.0000 [3 per cell]
2 Zr 0.0000 0.0000 0.5000 [3 per cell]

No. 2
A relaxed structure of BaZr, computed with GGA-PBE.

Calculated values
D(E_F) = 4.53 states/eV/cell
Excess energy over the best structure of this formula in the dataset = 440 meV/atom
Calculated formation energy = 0.786 eV per atom
Theoretical density = 5.684 g cm⁻³
Total moment = 0.13 Bohr magnetons per cell

Unit cell a=3.431 b=3.431 c=5.671 alpha=90.00 beta=90.00 gamma=90.00
Space group P4/mmm (No. 123)
Inequivalent atoms, fractional coordinates:
1 Ba 0.000 0.000 0.000 [1 per cell]
2 Zr 0.500 0.500 0.500 [1 per cell]

No. 3
A relaxed structure of BaZr, computed with GGA-PBE.

Calculated values
D(E_F) = 25.37 states/eV/cell
Excess energy over the best structure of this formula in the dataset = 541 meV/atom
Calculated formation energy = 0.888 eV per atom
Theoretical density = 3.928 g cm⁻³
Total moment = 0.00 Bohr magnetons per cell

Unit cell a=15.114 b=15.114 c=3.384 alpha=90.00 beta=90.00 gamma=90.00
Space group I4/m (No. 87)
Inequivalent atoms, fractional coordinates:
1 Ba 0.049 0.314 0.000 [8 per cell]
2 Zr 0.174 0.765 0.000 [8 per cell]

No. 4
A relaxed structure of BaZr, computed with GGA-PBE.

Calculated values
D(E_F) = 4.22 states/eV/cell
Excess energy over the best structure of this formula in the dataset = 199 meV/atom
Calculated formation energy = 0.545 eV per atom
Theoretical density = 4.996 g cm⁻³
Total moment = 0.00 Bohr magnetons per cell

Unit cell a=5.139 b=3.570 c=8.280 alpha=90.00 beta=90.00 gamma=90.00
Space group Pmma (No. 51)
Inequivalent atoms, fractional coordinates:
1 Ba 0.250 0.000 0.186 [2 per cell]
2 Zr 0.250 0.500 0.570 [2 per cell]

No. 5
A relaxed structure of BaZr, computed with GGA-PBE.

Calculated values
D(E_F) = 39.30 states/eV/cell
Excess energy over the best structure of this formula in the dataset = 1956 meV/atom
Calculated formation energy = 2.303 eV per atom
Theoretical density = 2.292 g cm⁻³
Total moment = 23.56 Bohr magnetons per cell

Unit cell a=9.979 b=9.979 c=9.979 alpha=90.00 beta=90.00 gamma=90.00
Space group Pm-3n (No. 223)
Inequivalent atoms, fractional coordinates:
1 Ba 0.000 0.250 0.500 [6 per cell]
2 Zr 0.000 0.500 0.250 [6 per cell]

No. 6
A relaxed structure of Ba2Zr, computed with GGA-PBE.

Calculated values
D(E_F) = 5.02 states/eV/cell
Excess energy over the best structure of this formula in the dataset = 325 meV/atom
Calculated formation energy = 0.726 eV per atom
Theoretical density = 4.363 g cm⁻³
Total moment = 0.00 Bohr magnetons per cell

Unit cell a=6.172 b=6.172 c=3.656 alpha=90.00 beta=90.00 gamma=90.00
Space group P4/mmm (No. 123)
Inequivalent atoms, fractional coordinates:
1 Ba 0.000 0.500 0.000 [2 per cell]
2 Zr 0.000 0.000 0.500 [1 per cell]

Please write out number 6 again, unchanged.
A relaxed structure of Ba2Zr, computed with GGA-PBE.

Calculated values
D(E_F) = 5.02 states/eV/cell
Excess energy over the best structure of this formula in the dataset = 325 meV/atom
Calculated formation energy = 0.726 eV per atom
Theoretical density = 4.363 g cm⁻³
Total moment = 0.00 Bohr magnetons per cell

Unit cell a=6.172 b=6.172 c=3.656 alpha=90.00 beta=90.00 gamma=90.00
Space group P4/mmm (No. 123)
Inequivalent atoms, fractional coordinates:
1 Ba 0.000 0.500 0.000 [2 per cell]
2 Zr 0.000 0.000 0.500 [1 per cell]

Question: Among the records above, which one has the highest theoretical density?
Answer: number 1

Question: Which value of theoretical density does entry 6 give?
Answer: 4.363 g cm⁻³